Computed, not measured: an optimized crystal structure of In5Ga12Bi3 at the PBE level of DFT.

It has space group Ia-3d (No. 230), with a = 16.7019 Å, b = 16.7019 Å, c = 16.7019 Å, α = 90.00°, β = 90.00° and γ = 90.00°. Symmetry generates all atoms from In at (0.0000, 0.0000, 0.0000), In at (0.0000, 0.2500, 0.3750), Ga at (0.0115, 0.0739, 0.6514) and Bi at (0.0000, 0.2500, 0.1250).

For the final energy, the calculation gives -2.88 eV/atom. For the total moment, the calculation gives 0.000 μB per formula unit. The formation energy is 396.4 kJ/mol of formula units.

***

Computed, not measured: an optimized crystal structure of InGaBi at the PBE level of DFT.

It has space group P2_1/m (No. 11), with a = 4.6455 Å, b = 4.9284 Å, c = 7.4610 Å, α = 90.00°, β = 107.11° and γ = 90.00°. Symmetry generates all atoms from In at (0.0823, 0.2500, 0.1601), Ga at (0.2455, 0.7500, 0.5085) and Bi at (0.3918, 0.2500, 0.7733).

For the final energy, the calculation gives -3.18 eV/atom. For the total moment, the calculation gives 0.000 μB per formula unit. For the energy above the most stable polymorph in this dataset, the calculation gives 0.000 eV per atom. The formation energy is 10.6 kJ/mol of formula units.

***

Computed, not measured: an optimized crystal structure of In8GaBi2 at the PBE level of DFT.

It has space group C2/m (No. 12), with a = 12.1559 Å, b = 6.7140 Å, c = 7.8496 Å, α = 90.00°, β = 92.81° and γ = 90.00°. Symmetry generates all atoms from In at (0.0937, 0.2438, 0.2171), In at (0.1364, 0.0000, 0.8541), In at (0.2434, 0.0000, 0.5068), Ga at (0.0000, 0.5000, 0.5000) and Bi at (0.1495, 0.5000, 0.8641).

For the final energy, the calculation gives -2.91 eV/atom. For the total moment, the calculation gives 0.000 μB per formula unit. For the energy above the most stable polymorph in this dataset, the calculation gives 0.019 eV per atom. The formation energy is 64.8 kJ/mol of formula units.

***

Computed, not measured: an optimized crystal structure of InGaBi3 at the PBE level of DFT.

It has space group Pm-3m (No. 221), with a = 5.5633 Å, b = 5.5633 Å, c = 5.5633 Å, α = 90.00°, β = 90.00° and γ = 90.00°. Symmetry generates all atoms from In at (0.0000, 0.0000, 0.0000), Ga at (0.5000, 0.5000, 0.5000) and Bi at (0.0000, 0.5000, 0.5000).

For the final energy, the calculation gives -3.07 eV/atom. For the total moment, the calculation gives 0.000 μB per formula unit. For the energy above the most stable polymorph in this dataset, the calculation gives 0.000 eV per atom. The formation energy is 198.6 kJ/mol of formula units.

***

Computed, not measured: an optimized crystal structure of In9GaBi2 at the PBE level of DFT.

It has space group P4/mmm (No. 123), with a = 4.9897 Å, b = 4.9897 Å, c = 13.3301 Å, α = 90.00°, β = 90.00° and γ = 90.00°. Symmetry generates all atoms from In at (0.0000, 0.0000, 0.0000), In at (0.0000, 0.0000, 0.3269), In at (0.0000, 0.5000, 0.1540), In at (0.0000, 0.5000, 0.5000), Ga at (0.5000, 0.5000, 0.0000) and Bi at (0.5000, 0.5000, 0.3246).

For the final energy, the calculation gives -2.93 eV/atom. For the total moment, the calculation gives 0.000 μB per formula unit. The formation energy is 27.6 kJ/mol of formula units.

***

Computed, not measured: an optimized crystal structure of InGaBi at the PBE level of DFT.

It has space group P1 (No. 1), with a = 4.5532 Å, b = 4.6669 Å, c = 8.0826 Å, α = 90.42°, β = 101.37° and γ = 90.11°. Symmetry generates all atoms from In at (0.0000, 0.0000, 0.0000), In at (0.1348, 0.5072, 0.6996), Ga at (0.1967, 0.3309, 0.3357), Ga at (0.9383, 0.8309, 0.3636), Bi at (0.5302, 0.5078, 0.0846) and Bi at (0.6063, 0.0155, 0.6147).

For the final energy, the calculation gives -3.17 eV/atom. For the total moment, the calculation gives 0.000 μB per formula unit. For the energy above the most stable polymorph in this dataset, the calculation gives 0.009 eV per atom. The formation energy is 13.3 kJ/mol of formula units.